Entry 1:
TlZn2Co2 (PBE-GGA, relaxed); energy = -0.26285 Ry per atom; size of the total moment = 4.48 μB/cell; energy of formation = 0.249 eV per atom
1.0
6.8762 0.0000 0.0000
0.0000 6.8762 0.0000
0.0000 0.0000 3.1884
Co Zn Tl
4 4 2
direct
0.6259 0.1259 0.0000
0.8741 0.6259 0.0000
0.1259 0.3741 0.0000
0.3741 0.8741 0.0000
0.6613 0.8387 0.5000
0.8387 0.3387 0.5000
0.3387 0.1613 0.5000
0.1613 0.6613 0.5000
0.5000 0.5000 0.0000
0.0000 0.0000 0.0000

Entry 2:
TlZn2Co (PBE-GGA, relaxed); energy = -0.19284 Ry per atom; size of the total moment = 0.92 μB/cell; energy of formation = 0.381 eV per atom
1.0
4.5299 -0.1607 -0.5036
-2.1630 5.1053 0.2730
0.2040 0.9405 2.9483
Tl Co Zn
1 1 2
direct
0.5000 0.5000 0.0000
0.0000 0.5000 0.5000
0.0000 0.0000 0.0000
0.5000 0.0000 0.5000

Entry 3:
Tl2ZnCo (PBE-GGA, relaxed); energy = -0.20619 Ry per atom; size of the total moment = 1.32 μB/cell; energy of formation = 0.473 eV per atom
1.0
8.7642 -0.0360 -0.0213
8.1429 3.2413 -0.0213
8.1429 1.5437 2.8501
Tl Co Zn
2 1 1
direct
0.0070 0.0070 0.0070
0.4930 0.4930 0.4930
0.7500 0.7500 0.7500
0.2500 0.2500 0.2500

- Among the records above, which one has the lowest energy of formation?
  TlZn2Co2